1.
An optimized crystal structure of EuTlAgGe, computed with PBE-GGA.

```
data_EuTlAgGe
_chemical_formula_sum 'Eu4 Tl4 Ag4 Ge4'
_space_group_name_H-M_alt 'F -4 3 m'
_space_group_IT_number 216
_space_group_name_Hall 'F -4 2 3'
_cell_length_a 7.255
_cell_length_b 7.255
_cell_length_c 7.255
_cell_angle_alpha 90.00
_cell_angle_beta 90.00
_cell_angle_gamma 90.00
loop_
_atom_site_label
_atom_site_type_symbol
_atom_site_fract_x
_atom_site_fract_y
_atom_site_fract_z
Eu1 Eu 0.000 0.000 0.000
Tl1 Tl 0.250 0.250 0.250
Ag1 Ag 0.000 0.000 0.500
Ge1 Ge 0.250 0.250 0.750
```

For the calculated density, the calculation gives 9.34 Mg/m³. The value obtained for the total energy is -5.245 eV per atom. The value obtained for the density of states at the Fermi level is 3.61 states/eV/f.u. The formation energy is -0.218 eV per atom.

***

2.
An optimized crystal structure of YFe2Sb, computed with PBE-GGA.

```
data_YFe2Sb
_chemical_formula_sum 'Y3 Fe6 Sb3'
_space_group_name_H-M_alt 'R -3 m'
_space_group_IT_number 166
_space_group_name_Hall '-R 3 2"'
_cell_length_a 4.3779
_cell_length_b 4.3779
_cell_length_c 14.6149
_cell_angle_alpha 90.00
_cell_angle_beta 90.00
_cell_angle_gamma 120.00
loop_
_atom_site_label
_atom_site_type_symbol
_atom_site_fract_x
_atom_site_fract_y
_atom_site_fract_z
Y1 Y 0.0000 0.0000 0.0000
Fe1 Fe 0.0000 0.0000 0.1862
Sb1 Sb 0.0000 0.0000 0.5000
```

For the calculated density, the calculation gives 6.62 Mg/m³. As for the uncorrected formation energy: -0.127 eV per atom. The value obtained for the total energy is -7.005 eV per atom. The value obtained for the density of states at the Fermi level is 1.17 states/eV/f.u.